--- i ---
The following is a GGA-PBE calculation of crystalline K2AgSn2 at its relaxed geometry, from the Alexandria database.

a = 5.2386 Å, b = 5.2386 Å, c = 25.2116 Å
α = 90.00°, β = 90.00°, γ = 90.00°
Closest atoms and distances in Å follow each position.
Space group I4_1/amd (No. 141, origin choice 2)
Symmetry-distinct sites (fractional):
K 0.0000 0.2500 0.0597 (multiplicity 8)  2 Ag 3.09
Ag 0.0000 0.2500 0.3750 (multiplicity 4)  4 K 3.09, 4 Sn 3.44
Sn 0.0000 0.2500 0.2134 (multiplicity 8)  2 Sn 3.20, 2 Ag 3.44, 2 K 3.57

Properties
Magnetization (μB/f.u.): 0.00
N(E_F) (states/eV/cell): 15.0

***

--- ii ---
The following is a GGA-PBE calculation of crystalline K2AgSn2 at its relaxed geometry, from the Alexandria database.

a = 7.4183 Å, b = 7.4183 Å, c = 5.9012 Å
α = 90.00°, β = 90.00°, γ = 90.00°
Closest atoms and distances in Å follow each position.
Space group P4/mbm (No. 127)
Symmetry-distinct sites (fractional):
K 0.1758 0.3242 0.0000 (multiplicity 4)  6 Sn 3.53-3.77, 5 K 3.69-3.87
Ag 0.0000 0.0000 0.5000 (multiplicity 2)  4 Sn 2.87
Sn 0.1389 0.6389 0.5000 (multiplicity 4)  2 Ag 2.87, 1 Sn 2.91

Properties
Magnetization (μB/f.u.): 0.00
N(E_F) (states/eV/cell): 5.7

***

Structures ranked by computed energy, the most stable listed first: ii, i.

***

--- i ---
The following is a GGA-PBE calculation of crystalline KAg2Sn2 at its relaxed geometry, from the Alexandria database.

a = 6.7608 Å, b = 7.3240 Å, c = 6.2772 Å
α = 90.00°, β = 117.77°, γ = 90.00°
Closest atoms and distances in Å follow each position.
Space group C2/m (No. 12)
Symmetry-distinct sites (fractional):
K 0.0000 0.0000 0.0000 (multiplicity 2)  4 Ag 3.48, 4 Sn 3.60-3.79
Ag 0.0000 0.2063 0.5000 (multiplicity 4)  4 Sn 2.83-2.85, 1 Ag 3.02
Sn 0.1011 0.5000 0.2681 (multiplicity 4)  4 Ag 2.83-2.85, 1 Sn 2.99

Properties
Magnetization (μB/f.u.): 0.00
N(E_F) (states/eV/cell): 4.1

***

--- ii ---
The following is a GGA-PBE calculation of crystalline KAg2Sn2 at its relaxed geometry, from the Alexandria database.

a = 4.8734 Å, b = 4.8734 Å, c = 11.8055 Å
α = 90.00°, β = 90.00°, γ = 90.00°
Closest atoms and distances in Å follow each position.
Space group I4/mmm (No. 139)
Symmetry-distinct sites (fractional):
K 0.0000 0.0000 0.0000 (multiplicity 2)  8 Ag 3.73, 8 Sn 3.83
Ag 0.0000 0.0000 0.3789 (multiplicity 4)  1 Ag 2.86, 4 Sn 2.87
Sn 0.0000 0.5000 0.2500 (multiplicity 4)  4 Ag 2.87

Properties
Magnetization (μB/f.u.): 0.00
N(E_F) (states/eV/cell): 5.5

***

Structures ranked by computed energy, the most stable listed first: i, ii.

***

--- i ---
The following is a GGA-PBE calculation of crystalline KSrAg2 at its relaxed geometry, from the Alexandria database.

a = 8.7540 Å, b = 8.7540 Å, c = 7.4650 Å
α = 90.00°, β = 90.00°, γ = 90.00°
Closest atoms and distances in Å follow each position.
Space group I-42d (No. 122)
Symmetry-distinct sites (fractional):
K 0.0000 0.0000 0.0000 (multiplicity 4)  4 Ag 3.28
Sr 0.0000 0.0000 0.5000 (multiplicity 4)  4 Ag 3.19
Ag 0.2420 0.2500 0.6250 (multiplicity 8)  2 Sr 3.19, 2 K 3.28

Properties
Magnetization (μB/f.u.): 0.00
N(E_F) (states/eV/cell): 8.2

***

--- ii ---
The following is a GGA-PBE calculation of crystalline KSrAg2 at its relaxed geometry, from the Alexandria database.

a = 7.7281 Å, b = 7.7281 Å, c = 7.7281 Å
α = 90.00°, β = 90.00°, γ = 90.00°
Closest atoms and distances in Å follow each position.
Space group F-43m (No. 216)
Symmetry-distinct sites (fractional):
K 0.0000 0.0000 0.0000 (multiplicity 4)  4 Ag 3.35, 4 Sr 3.35
Sr 0.2500 0.2500 0.7500 (multiplicity 4)  4 K 3.35, 4 Ag 3.35
Ag 0.0000 0.0000 0.5000 (multiplicity 4)  4 Sr 3.35, 4 Ag 3.35
Ag 0.2500 0.2500 0.2500 (multiplicity 4)  4 Ag 3.35, 4 K 3.35

Properties
Magnetization (μB/f.u.): 0.00
N(E_F) (states/eV/cell): 12.9

***

--- iii ---
The following is a GGA-PBE calculation of crystalline KSrAg2 at its relaxed geometry, from the Alexandria database.

a = 3.9806 Å, b = 4.1389 Å, c = 8.0908 Å
α = 90.00°, β = 90.19°, γ = 90.00°
Closest atoms and distances in Å follow each position.
Space group P2/m (No. 10)
Symmetry-distinct sites (fractional):
K 0.0000 0.0000 0.0000 (multiplicity 1)  8 Ag 3.74-3.76, 4 K 3.98-4.14, 2 Sr 4.05
Sr 0.0000 0.0000 0.5000 (multiplicity 1)  8 Ag 3.30
Ag 0.4983 0.5000 0.2983 (multiplicity 2)  1 Ag 3.26, 4 Sr 3.30

Properties
Magnetization (μB/f.u.): 0.00
N(E_F) (states/eV/cell): 1.1

***

--- iv ---
The following is a GGA-PBE calculation of crystalline KSrAg2 at its relaxed geometry, from the Alexandria database.

a = 7.9422 Å, b = 7.9752 Å, c = 4.0150 Å
α = 90.00°, β = 90.11°, γ = 90.00°
Closest atoms and distances in Å follow each position.
Space group C2/m (No. 12)
Symmetry-distinct sites (fractional):
K 0.0000 0.0000 0.0000 (multiplicity 2)  8 Ag 3.45-3.46
Sr 0.0000 0.5000 0.0000 (multiplicity 2)  8 Ag 3.45-3.46
Ag 0.2500 0.2500 0.5000 (multiplicity 4)  4 K 3.45-3.46, 4 Sr 3.45-3.46

Properties
Magnetization (μB/f.u.): 0.00
N(E_F) (states/eV/cell): 3.2

***

Structures ranked by computed energy, the most stable listed first: iii, iv, ii, i.

***

--- i ---
The following is a GGA-PBE calculation of crystalline K2SrAg at its relaxed geometry, from the Alexandria database.

a = 7.2719 Å, b = 11.4983 Å, c = 4.5886 Å
α = 90.00°, β = 90.00°, γ = 90.00°
Closest atoms and distances in Å follow each position.
Space group Cmmm (No. 65)
Symmetry-distinct sites (fractional):
K 0.2500 0.2500 0.0000 (multiplicity 4)  2 K 3.64
Sr 0.0000 0.0000 0.5000 (multiplicity 2)  2 Ag 3.64
Ag 0.0000 0.5000 0.5000 (multiplicity 2)  2 Sr 3.64

Properties
Magnetization (μB/f.u.): 0.00
N(E_F) (states/eV/cell): 4.1

***

--- ii ---
The following is a GGA-PBE calculation of crystalline K2SrAg at its relaxed geometry, from the Alexandria database.

a = 11.8269 Å, b = 4.3327 Å, c = 8.4099 Å
α = 90.00°, β = 111.94°, γ = 90.00°
Closest atoms and distances in Å follow each position.
Space group Cm (No. 8)
Symmetry-distinct sites (fractional):
K 0.0000 0.0000 0.0000 (multiplicity 2)  2 Ag 3.48
K 0.1803 0.0000 0.6785 (multiplicity 2)  2 Ag 3.50
Sr 0.3208 0.5000 0.3359 (multiplicity 2)  3 Ag 3.30-3.42
Ag 0.0323 0.5000 0.3377 (multiplicity 2)  3 Sr 3.30-3.42, 4 K 3.48-3.50

Properties
Magnetization (μB/f.u.): 0.00
N(E_F) (states/eV/cell): 4.2

***

--- iii ---
The following is a GGA-PBE calculation of crystalline K2SrAg at its relaxed geometry, from the Alexandria database.

a = 4.1335 Å, b = 4.1335 Å, c = 11.2707 Å
α = 90.00°, β = 90.00°, γ = 90.00°
Closest atoms and distances in Å follow each position.
Space group P4mm (No. 99)
Symmetry-distinct sites (fractional):
K 0.0000 0.0000 0.0000 (multiplicity 1)  4 Ag 3.73, 1 Sr 3.95, 4 K 4.13
K 0.5000 0.5000 0.3374 (multiplicity 1)  4 K 4.13, 4 Sr 4.57
Sr 0.0000 0.0000 0.6497 (multiplicity 1)  4 Ag 3.34
Ag 0.5000 0.5000 0.7940 (multiplicity 1)  4 Sr 3.34, 4 K 3.73

Properties
Magnetization (μB/f.u.): 0.00
N(E_F) (states/eV/cell): 3.0

***

Structures ranked by computed energy, the most stable listed first: iii, ii, i.